DFT (PBE) results for a relaxed structure of VGaFeMo.

Structure (POSCAR):
```
VGaFeMo
1.0
-2.458 0.644 3.421
-2.649 -3.063 1.328
0.805 -2.089 3.626
Mo Fe Ga V
1 1 1 1
Direct
0.000 0.000 0.000 Mo
0.500 0.500 0.500 Fe
0.250 0.250 0.250 Ga
0.750 0.750 0.750 V
```

Values from the calculation:
Formation energy = -0.028 eV per atom
DOS at the Fermi energy = 3.7 states/eV per cell

***

DFT (PBE) results for a relaxed structure of GaFe2N3.

Structure (POSCAR):
```
GaFe2N3
1.0
2.641 -4.671 0.000
2.641 4.671 0.000
0.000 0.000 5.053
N Fe Ga
6 4 2
Direct
0.678 0.012 0.851 N
0.315 0.315 0.888 N
0.988 0.322 0.351 N
0.012 0.678 0.851 N
0.685 0.685 0.388 N
0.322 0.988 0.351 N
0.347 0.989 0.989 Fe
0.011 0.653 0.489 Fe
0.989 0.347 0.989 Fe
0.653 0.011 0.489 Fe
0.666 0.666 0.004 Ga
0.334 0.334 0.504 Ga
```

Values from the calculation:
ΔE_f (raw) = 47 meV/atom
DOS at the Fermi energy = 7.7 states/eV per cell

***

DFT (PBE) results for a relaxed structure of Ga3FeN.

Structure (POSCAR):
```
Ga3FeN
1.0
4.185 0.000 0.000
0.000 4.185 0.000
0.000 0.000 4.185
Ga Fe N
3 1 1
Direct
0.000 0.000 0.500 Ga
0.500 0.000 0.000 Ga
0.000 0.500 0.000 Ga
0.500 0.500 0.500 Fe
0.000 0.000 0.000 N
```

Values from the calculation:
ΔE_f (raw) = 643 meV/atom
DOS at the Fermi energy = 1.7 states/eV per cell
Excess energy over the best structure of this formula in the dataset = 0.000 eV per formula unit

***

DFT (PBE) results for a relaxed structure of GaFe3N.

Structure (POSCAR):
```
GaFe3N
1.0
3.713 0.000 0.000
0.000 3.713 0.000
0.000 0.000 3.713
Fe N Ga
3 1 1
Direct
0.000 0.000 0.500 Fe
0.500 0.000 0.000 Fe
0.000 0.500 0.000 Fe
0.000 0.000 0.000 N
0.500 0.500 0.500 Ga
```

Values from the calculation:
ΔE_f (raw) = -140 meV/atom
DOS at the Fermi energy = 4.7 states/eV per cell

***

DFT (PBE) results for a relaxed structure of Ga3FeN.

Structure (POSCAR):
```
Ga3FeN
1.0
4.594 0.000 0.000
0.000 4.594 0.000
0.000 0.000 4.594
Fe N Ga
1 1 3
Direct
0.000 0.000 0.000 Fe
0.500 0.500 0.500 N
0.000 0.000 0.500 Ga
0.000 0.500 0.000 Ga
0.500 0.000 0.000 Ga
```

Values from the calculation:
ΔE_f (raw) = 924 meV/atom
DOS at the Fermi energy = 3.7 states/eV per cell
Excess energy over the best structure of this formula in the dataset = 1.402 eV per formula unit

***

DFT (PBE) results for a relaxed structure of GaFe19N5.

Structure (POSCAR):
```
GaFe19N5
1.0
8.469 0.000 0.000
0.000 8.469 0.000
0.000 0.000 3.799
Fe N Ga
19 5 1
Direct
0.405 0.200 0.000 Fe
0.100 0.298 0.000 Fe
0.604 0.302 0.500 Fe
0.702 0.100 0.000 Fe
0.800 0.405 0.000 Fe
0.201 0.100 0.500 Fe
0.298 0.900 0.000 Fe
0.900 0.702 0.000 Fe
0.500 0.000 0.500 Fe
0.900 0.201 0.500 Fe
0.396 0.698 0.500 Fe
0.698 0.604 0.500 Fe
0.595 0.800 0.000 Fe
0.302 0.396 0.500 Fe
0.200 0.595 0.000 Fe
0.500 0.500 0.000 Fe
0.100 0.799 0.500 Fe
0.799 0.900 0.500 Fe
0.000 0.500 0.500 Fe
0.900 0.700 0.500 N
0.500 0.500 0.500 N
0.700 0.100 0.500 N
0.100 0.300 0.500 N
0.300 0.900 0.500 N
0.000 0.000 0.000 Ga
```

Values from the calculation:
ΔE_f (raw) = -67 meV/atom
DOS at the Fermi energy = 25.4 states/eV per cell

***

DFT (PBE) results for a relaxed structure of Ga2FeN3.

Structure (POSCAR):
```
Ga2FeN3
1.0
2.802 -4.844 0.000
2.802 4.844 0.000
0.000 0.000 5.247
N Ga Fe
6 4 2
Direct
0.665 0.002 0.870 N
0.335 0.998 0.370 N
0.998 0.335 0.370 N
0.327 0.327 0.871 N
0.002 0.665 0.870 N
0.673 0.673 0.371 N
0.668 0.002 0.494 Ga
0.332 0.998 0.994 Ga
0.002 0.668 0.494 Ga
0.998 0.332 0.994 Ga
0.666 0.666 0.989 Fe
0.334 0.334 0.489 Fe
```

Values from the calculation:
ΔE_f (raw) = -128 meV/atom
DOS at the Fermi energy = 2.7 states/eV per cell

***

DFT (PBE) results for a relaxed structure of GaFe2N.

Structure (POSCAR):
```
GaFe2N
1.0
5.902 0.000 0.000
0.000 5.902 0.000
2.951 2.951 2.578
Fe Ga N
4 2 2
Direct
0.875 0.762 0.750 Fe
0.375 0.488 0.750 Fe
0.238 0.625 0.250 Fe
0.512 0.125 0.250 Fe
0.750 0.250 0.500 Ga
0.000 0.000 0.000 Ga
0.500 0.500 0.000 N
0.250 0.750 0.500 N
```

Values from the calculation:
ΔE_f (raw) = 66 meV/atom
DOS at the Fermi energy = 10.1 states/eV per cell

***

Number 1: size of the total moment 0.46 μB per atom. Number 2: size of the total moment 0.00 μB per atom. Number 3: size of the total moment 0.40 μB per atom. Number 4: size of the total moment 0.00 μB per atom. Number 5: size of the total moment 0.66 μB per atom. Number 6: size of the total moment 1.79 μB per atom. Number 7: size of the total moment 0.81 μB per atom. Number 8: size of the total moment 0.17 μB per atom.